Compound: CdW2O6
Source: the Alexandria database
Functional: PBE with a Hubbard U
Structure: relaxed

Lattice parameters (Å, degrees): 5.3747 5.3747 4.8267 90.00 90.00 120.00
With the nearest neighbours (Å) after each atom.
Sites, in units of the cell vectors:
Cd  0.0000  0.0000  0.0000  6 O 2.38
W  0.3333  0.6667  0.5000  6 O 2.02
W  0.6667  0.3333  0.5000  6 O 2.02
O  0.0000  0.3628  0.2814  2 W 2.02
O  0.0000  0.6372  0.7186  2 W 2.02
O  0.3628  0.0000  0.2814  2 W 2.02
O  0.3628  0.3628  0.7186  2 W 2.02
O  0.6372  0.0000  0.7186  2 W 2.02
O  0.6372  0.6372  0.2814  2 W 2.02

Output
* electronic total energy: -6.78 eV per atom